No. 1
Computed, not measured: a relaxed Nd11Dy9Er4 crystal at the PBE-GGA level of DFT.

Summary:
- space-group type = Cmmm, No. 65
- ΔH_f (0 K) (kJ/mol of atoms) = 5.3

extended XYZ file:
```
24
Lattice="8.504 -12.889 0.000 8.504 12.889 0.000 0.000 0.000 3.655" Properties=species:S:1:pos:R:3 pbc="T T T"
Nd 0.000 0.000 0.000
Nd 3.808 4.668 0.000
Nd 8.504 8.749 0.000
Nd 4.982 0.000 0.000
Nd 8.504 3.384 0.000
Nd 3.808 -4.668 0.000
Nd 13.199 4.668 0.000
Nd 8.504 -3.384 0.000
Nd 12.025 0.000 0.000
Nd 8.504 -8.749 0.000
Nd 13.199 -4.668 0.000
Dy 2.402 1.875 1.828
Dy 6.768 5.983 1.828
Dy 2.402 -1.875 1.828
Dy 10.240 5.983 1.828
Dy 8.504 0.000 1.828
Dy 6.768 -5.983 1.828
Dy 14.605 1.875 1.828
Dy 10.240 -5.983 1.828
Dy 14.605 -1.875 1.828
Er 5.828 2.627 1.828
Er 5.828 -2.627 1.828
Er 11.180 2.627 1.828
Er 11.180 -2.627 1.828
```

No. 2
Computed, not measured: a relaxed Nd3DyEr3 crystal at the PBE-GGA level of DFT.

Summary:
- polymorph energy (0 for the lowest one) (kJ per mole of atoms) = 14.48
- space-group type = R-3, No. 148
- ΔH_f (0 K) (kJ/mol of atoms) = 16.5

extended XYZ file:
```
14
Lattice="3.103 1.792 14.416 -3.103 1.792 14.416 0.000 -3.583 14.416" Properties=species:S:1:pos:R:3 pbc="T T T"
Nd -1.025 -1.804 20.063
Nd -2.075 -0.014 23.184
Nd -1.050 1.790 20.063
Nd 1.050 -1.790 23.184
Nd 2.075 0.014 20.063
Nd 1.025 1.804 23.184
Dy 0.000 0.000 14.415
Dy 0.000 0.000 28.832
Er -2.069 0.000 17.202
Er -1.034 -1.792 26.045
Er 1.035 -1.792 17.202
Er -1.035 1.792 26.045
Er 1.034 1.792 17.202
Er 2.069 0.000 26.045
```

No. 3
Computed, not measured: a relaxed Nd14DyEr crystal at the PBE-GGA level of DFT.

Summary:
- space-group type = P4/mmm, No. 123
- ΔH_f (0 K) (kJ/mol of atoms) = 1.4

extended XYZ file:
```
16
Lattice="7.322 0.000 0.000 0.000 7.322 0.000 0.000 0.000 10.351" Properties=species:S:1:pos:R:3 pbc="T T T"
Nd 0.000 0.000 0.000
Nd 0.000 3.661 0.000
Nd 0.000 3.661 5.175
Nd 1.832 1.832 2.613
Nd 1.832 1.832 7.738
Nd 1.832 5.490 2.613
Nd 1.832 5.490 7.738
Nd 3.661 0.000 0.000
Nd 3.661 0.000 5.175
Nd 3.661 3.661 0.000
Nd 5.490 1.832 2.613
Nd 5.490 1.832 7.738
Nd 5.490 5.490 2.613
Nd 5.490 5.490 7.738
Dy 0.000 0.000 5.175
Er 3.661 3.661 5.175
```

No. 4
Computed, not measured: a relaxed NdDy2Er12 crystal at the PBE-GGA level of DFT.

Summary:
- space-group type = C2/m, No. 12
- ΔH_f (0 K) (kJ/mol of atoms) = 11.0

extended XYZ file:
```
30
Lattice="3.532 -5.526 0.000 3.532 5.526 0.000 -1.733 0.000 24.100" Properties=species:S:1:pos:R:3 pbc="T T T"
Nd 1.766 0.000 0.009
Nd 3.565 0.000 24.092
Dy 0.004 0.000 6.566
Dy 1.784 0.000 17.530
Dy 3.546 0.000 6.570
Dy 5.326 0.000 17.534
Er 1.769 2.771 4.881
Er 1.780 2.755 7.986
Er 1.777 2.754 13.368
Er 0.005 0.000 13.837
Er 0.025 0.000 20.771
Er 1.796 2.763 22.274
Er 3.535 2.763 1.826
Er 1.775 0.000 3.350
Er 1.783 0.000 10.290
Er 3.554 2.754 10.732
Er 3.551 2.755 16.114
Er 3.561 2.771 19.219
Er 1.769 -2.771 4.881
Er 1.780 -2.755 7.986
Er 1.777 -2.754 13.368
Er 3.548 0.000 13.810
Er 3.556 0.000 20.751
Er 1.796 -2.763 22.274
Er 3.535 -2.763 1.826
Er 5.306 0.000 3.330
Er 5.326 0.000 10.263
Er 3.554 -2.754 10.732
Er 3.551 -2.755 16.114
Er 3.561 -2.771 19.219
```